Computed, not measured: an optimized crystal structure of Mn3Si2P3 at the PBE level of DFT.

energy relative to the elements, uncorrected = 14 meV per atom
space group = No. 193
DOS at the Fermi energy = 9.56 states/eV per cell

Unit cell a=7.310 b=7.310 c=4.592 alpha=90.00 beta=90.00 gamma=120.00
Sites, in units of the cell vectors:
1 Mn 0.000 0.386 0.250
2 Mn 0.000 0.614 0.750
3 Mn 0.386 0.000 0.250
4 Mn 0.386 0.386 0.750
5 Mn 0.614 0.000 0.750
6 Mn 0.614 0.614 0.250
7 Si 0.333 0.667 0.000
8 Si 0.333 0.667 0.500
9 Si 0.667 0.333 0.000
10 Si 0.667 0.333 0.500
11 P 0.000 0.280 0.750
12 P 0.000 0.720 0.250
13 P 0.280 0.000 0.750
14 P 0.280 0.280 0.250
15 P 0.720 0.000 0.250
16 P 0.720 0.720 0.750

***

Computed, not measured: an optimized crystal structure of MnSiP at the PBE level of DFT.

offset from the most stable computed form = 0.234 eV/atom
energy relative to the elements, uncorrected = -48 meV per atom
space group = No. 216
DOS at the Fermi energy = 2.58 states/eV per cell

Unit cell a=3.886 b=3.886 c=3.886 alpha=60.00 beta=60.00 gamma=60.00
Sites, in units of the cell vectors:
1 Mn 0.000 0.000 0.000
2 Si 0.750 0.750 0.750
3 P 0.250 0.250 0.250

***

Computed, not measured: an optimized crystal structure of MnSiP at the PBE level of DFT.

offset from the most stable computed form = 0.280 eV/atom
energy relative to the elements, uncorrected = -2 meV per atom
space group = No. 107
DOS at the Fermi energy = 2.26 states/eV per cell

Unit cell a=5.488 b=5.488 c=5.488 alpha=151.03 beta=151.03 gamma=41.43
Sites, in units of the cell vectors:
1 Mn 0.000 0.000 0.000
2 Si 0.350 0.350 0.000
3 P 0.625 0.625 0.000

***

The evaluated calculated volume for the records listed, in turn: 13.3, 13.8, 12.9 Å³/atom.